Crystalline NbCd2NiO6 at its relaxed geometry, computed with PBE+U.

Results
Calculated total energy: -5.864 eV/atom
Density of states at the Fermi level: 0.0874 states/eV/atom
Magnetization: 0.96 μB/f.u.

abc: 5.333 5.477 9.586
angles: 90.00 122.97 90.00
Atoms (fractional coordinates):
Nb (0.000, 0.000, 0.000)
Nb (0.000, 0.500, 0.500)
Cd (0.268, 0.045, 0.751)
Cd (0.268, 0.455, 0.251)
Cd (0.732, 0.545, 0.749)
Cd (0.732, 0.955, 0.249)
Ni (0.500, 0.000, 0.500)
Ni (0.500, 0.500, 0.000)
O (0.135, 0.033, 0.240)
O (0.135, 0.467, 0.740)
O (0.271, 0.704, 0.061)
O (0.271, 0.796, 0.561)
O (0.353, 0.213, 0.052)
O (0.353, 0.287, 0.552)
O (0.647, 0.713, 0.448)
O (0.647, 0.787, 0.948)
O (0.729, 0.204, 0.439)
O (0.729, 0.296, 0.939)
O (0.865, 0.533, 0.260)
O (0.865, 0.967, 0.760)